1.
Below is a relaxed SiIr3Br crystal, with properties calculated at the PBE-GGA level.

a b c (Å): 4.6393 4.6393 4.6393
angles (deg): 90.00 90.00 90.00
Last column: nearest neighbours and their distance in Å.
Atoms (fractional coordinates):
Si  0.5000  0.5000  0.5000  12 Ir 3.28
Ir  0.0000  0.5000  0.0000  2 Br 2.32
Ir  0.0000  0.0000  0.5000  2 Br 2.32
Ir  0.5000  0.0000  0.0000  2 Br 2.32
Br  0.0000  0.0000  0.0000  6 Ir 2.32

Computed properties:
**Volume**: 20.0 Å³/atom



2.
Below is a relaxed SiIr3Br crystal, with properties calculated at the PBE-GGA level.

a b c (Å): 4.5252 4.5252 4.5252
angles (deg): 90.00 90.00 90.00
Last column: nearest neighbours and their distance in Å.
Atoms (fractional coordinates):
Si  0.0000  0.0000  0.0000  6 Ir 2.26
Ir  0.0000  0.5000  0.0000  2 Si 2.26
Ir  0.0000  0.0000  0.5000  2 Si 2.26
Ir  0.5000  0.0000  0.0000  2 Si 2.26
Br  0.5000  0.5000  0.5000  12 Ir 3.20

Computed properties:
**Volume**: 18.5 Å³/atom



Relative stability in kJ/mol of atoms, measured from the most stable structure: 1 83.3; 2 0.0



1.
Below is a relaxed SiIr2Br2 crystal, with properties calculated at the PBE-GGA level.

a b c (Å): 6.2116 6.2116 5.1106
angles (deg): 90.00 90.00 90.00
Last column: nearest neighbours and their distance in Å.
Atoms (fractional coordinates):
Si  0.0000  0.0000  0.0000  4 Ir 2.37
Si  0.5000  0.5000  0.0000  4 Ir 2.37
Ir  0.3510  0.8510  0.0000  2 Si 2.37, 2 Br 2.57, 1 Ir 2.62
Ir  0.8510  0.6490  0.0000  2 Si 2.37, 2 Br 2.57, 1 Ir 2.62
Ir  0.6490  0.1490  0.0000  2 Si 2.37, 2 Br 2.57, 1 Ir 2.62
Ir  0.1490  0.3510  0.0000  2 Si 2.37, 2 Br 2.57, 1 Ir 2.62
Br  0.3211  0.8211  0.5000  2 Ir 2.57
Br  0.8211  0.6789  0.5000  2 Ir 2.57
Br  0.6789  0.1789  0.5000  2 Ir 2.57
Br  0.1789  0.3211  0.5000  2 Ir 2.57

Computed properties:
**Volume**: 19.7 Å³/atom



2.
Below is a relaxed SiIr2Br2 crystal, with properties calculated at the PBE-GGA level.

a b c (Å): 4.2230 4.2230 6.4676
angles (deg): 70.95 70.95 90.00
Last column: nearest neighbours and their distance in Å.
Atoms (fractional coordinates):
Si  0.0000  0.0000  0.0000  8 Ir 3.21, 8 Br 3.56
Ir  0.3976  0.3976  0.2048  1 Ir 2.35
Ir  0.6024  0.6024  0.7952  1 Ir 2.35
Br  0.7500  0.2500  0.5000  4 Ir 2.71, 4 Br 2.99
Br  0.2500  0.7500  0.5000  4 Ir 2.71, 4 Br 2.99

Computed properties:
**Volume**: 20.5 Å³/atom



Relative stability in kJ/mol of atoms, measured from the most stable structure: 1 0.0; 2 87.1



1.
Below is a relaxed ZnSi2IrBr crystal, with properties calculated at the PBE-GGA level.

a b c (Å): 4.5163 5.0011 4.5163
angles (deg): 90.00 90.00 90.00
Last column: nearest neighbours and their distance in Å.
Atoms (fractional coordinates):
Zn  0.0000  0.0000  0.0000  4 Si 2.26, 2 Br 2.50
Ir  0.5000  0.5000  0.5000  4 Br 3.19, 8 Si 3.37
Si  0.0000  0.0000  0.5000  2 Zn 2.26
Si  0.5000  0.0000  0.0000  2 Zn 2.26
Br  0.0000  0.5000  0.0000  2 Zn 2.50

Computed properties:
**Volume**: 20.4 Å³/atom



2.
Below is a relaxed ZnSi2IrBr crystal, with properties calculated at the PBE-GGA level.

a b c (Å): 4.5560 4.9275 4.5560
angles (deg): 90.00 90.00 90.00
Last column: nearest neighbours and their distance in Å.
Atoms (fractional coordinates):
Zn  0.0000  0.0000  0.0000  4 Si 2.28, 2 Ir 2.46
Ir  0.0000  0.5000  0.0000  2 Zn 2.46
Si  0.0000  0.0000  0.5000  2 Zn 2.28
Si  0.5000  0.0000  0.0000  2 Zn 2.28
Br  0.5000  0.5000  0.5000  4 Ir 3.22, 8 Si 3.36

Computed properties:
**Volume**: 20.5 Å³/atom



Relative stability in kJ/mol of atoms, measured from the most stable structure: 1 16.4; 2 0.0



1.
Below is a relaxed Sm2IrBr crystal, with properties calculated at the PBE-GGA level.

a b c (Å): 4.1252 4.1252 8.0625
angles (deg): 89.99 104.83 120.01
Last column: nearest neighbours and their distance in Å.
Atoms (fractional coordinates):
Sm  0.5378  0.2690  0.8068  3 Ir 2.81
Sm  0.4622  0.7310  0.1932  3 Ir 2.81
Ir  0.0000  0.0000  0.0000  6 Sm 2.81
Br  0.0000  0.5000  0.5000  6 Sm 3.35-3.36

Computed properties:
**Volume**: 28.4 Å³/atom



2.
Below is a relaxed Sm2IrBr crystal, with properties calculated at the PBE-GGA level.

a b c (Å): 3.4637 3.4637 8.2966
angles (deg): 90.00 90.00 90.00
Last column: nearest neighbours and their distance in Å.
Atoms (fractional coordinates):
Ir  0.5000  0.5000  0.0000  8 Sm 3.00
Br  0.5000  0.5000  0.5000  8 Sm 3.44, 4 Br 3.46
Sm  0.0000  0.0000  0.7913  4 Ir 3.00
Sm  0.0000  0.0000  0.2087  4 Ir 3.00

Computed properties:
**Volume**: 24.9 Å³/atom



Relative stability in kJ/mol of atoms, measured from the most stable structure: 1 0.0; 2 17.9



1.
Below is a relaxed SnIr2Br crystal, with properties calculated at the PBE-GGA level.

a b c (Å): 4.6476 4.6476 4.6476
angles (deg): 60.00 60.00 60.00
Last column: nearest neighbours and their distance in Å.
Atoms (fractional coordinates):
Ir  0.2500  0.2500  0.2500  4 Sn 2.85, 4 Br 2.85
Ir  0.7500  0.7500  0.7500  4 Br 2.85, 4 Sn 2.85
Sn  0.5000  0.5000  0.5000  8 Ir 2.85
Br  0.0000  0.0000  0.0000  8 Ir 2.85

Computed properties:
**Volume**: 17.7 Å³/atom



2.
Below is a relaxed SnIr2Br crystal, with properties calculated at the PBE-GGA level.

a b c (Å): 4.4152 4.4152 8.8413
angles (deg): 75.54 75.54 90.00
Last column: nearest neighbours and their distance in Å.
Atoms (fractional coordinates):
Ir  0.5935  0.1250  0.2500  2 Br 2.53, 2 Sn 2.65
Ir  0.1565  0.6250  0.2500  2 Br 2.53, 2 Sn 2.65
Ir  0.3750  0.4065  0.7500  2 Br 2.53, 2 Sn 2.65
Ir  0.8750  0.8435  0.7500  2 Br 2.53, 2 Sn 2.65
Sn  0.0000  0.0000  0.0000  4 Ir 2.65
Sn  0.7500  0.2500  0.5000  4 Ir 2.65
Br  0.5000  0.5000  0.0000  4 Ir 2.53
Br  0.2500  0.7500  0.5000  4 Ir 2.53

Computed properties:
**Volume**: 20.2 Å³/atom



Relative stability in kJ/mol of atoms, measured from the most stable structure: 1 5.3; 2 0.0



1.
Below is a relaxed SrIr2Br crystal, with properties calculated at the PBE-GGA level.

a b c (Å): 5.1094 5.1094 8.8629
angles (deg): 73.25 73.25 90.00
Last column: nearest neighbours and their distance in Å.
Atoms (fractional coordinates):
Sr  0.0000  0.0000  0.0000  4 Ir 3.29, 4 Br 3.61
Sr  0.7500  0.2500  0.5000  4 Ir 3.29, 4 Br 3.61
Ir  0.4320  0.1250  0.2500  2 Br 2.41, 2 Ir 2.62
Ir  0.3180  0.6250  0.2500  2 Br 2.41, 2 Ir 2.62
Ir  0.3750  0.5680  0.7500  2 Br 2.41, 2 Ir 2.62
Ir  0.8750  0.6820  0.7500  2 Br 2.41, 2 Ir 2.62
Br  0.5000  0.5000  0.0000  4 Ir 2.41
Br  0.2500  0.7500  0.5000  4 Ir 2.41

Computed properties:
**Volume**: 26.4 Å³/atom



2.
Below is a relaxed SrIr2Br crystal, with properties calculated at the PBE-GGA level.

a b c (Å): 5.7172 3.6514 4.4894
angles (deg): 91.05 90.00 90.00
Last column: nearest neighbours and their distance in Å.
Atoms (fractional coordinates):
Sr  0.5000  0.2500  0.2500  4 Br 2.87-2.92
Ir  0.0000  0.8764  0.0054  2 Ir 2.40-2.46
Ir  0.0000  0.6236  0.4946  2 Ir 2.40-2.46
Br  0.5000  0.7500  0.7500  4 Sr 2.87-2.92, 4 Ir 3.11

Computed properties:
**Volume**: 23.4 Å³/atom



Relative stability in kJ/mol of atoms, measured from the most stable structure: 1 14.2; 2 0.0